Entry 1:
# Li2FeB2Pd5

An optimized crystal structure of Li2FeB2Pd5 (GGA-PBE, Alexandria via LeMat-Bulk).

It has space group P4/mbm (No. 127), with a = 9.548 Å, b = 9.548 Å, c = 2.913 Å, α = 90.00°, β = 90.00° and γ = 90.00°. The inequivalent atoms are Li at (0.177, 0.323, 0.000), Fe at (0.000, 0.000, 0.000), B at (0.127, 0.627, 0.000), Pd at (0.000, 0.500, 0.500) and Pd at (0.071, 0.783, 0.500).

Its total DFT energy (no corrections) is -108.797 eV for the cell shown. The calculated density comes out at 7.8 g cm⁻³. The energy of formation comes out at -278.9 meV per atom.

Entry 2:
# CoMo3H

An optimized crystal structure of CoMo3H (GGA-PBE, Alexandria via LeMat-Bulk).

It has space group Pm-3m (No. 221), with a = 3.932 Å, b = 3.932 Å, c = 3.932 Å, α = 90.00°, β = 90.00° and γ = 90.00°. The inequivalent atoms are Co at (0.000, 0.000, 0.000), Mo at (0.000, 0.500, 0.500) and H at (0.500, 0.500, 0.500).

Its total DFT energy (no corrections) is -42.168 eV for the cell shown. The calculated density comes out at 9.5 g cm⁻³. For the energy above the most stable polymorph in this dataset, the calculation gives 0 meV per atom.

Entry 3:
# TaSbW2

An optimized crystal structure of TaSbW2 (GGA-PBE, Alexandria via LeMat-Bulk).

It has space group Cmmm (No. 65), with a = 6.314 Å, b = 6.612 Å, c = 3.375 Å, α = 90.00°, β = 90.00° and γ = 90.00°. The inequivalent atoms are Ta at (0.000, 0.000, 0.000), Sb at (0.000, 0.500, 0.000) and W at (0.250, 0.250, 0.500).

The formation energy from raw total energies is 0.36 eV/atom. Its total DFT energy (no corrections) is -80.877 eV for the cell shown. The calculated density comes out at 15.8 g cm⁻³.

Entry 4:
# ThSc2Al

An optimized crystal structure of ThSc2Al (GGA-PBE, Alexandria via LeMat-Bulk).

It has space group Fm-3m (No. 225), with a = 7.233 Å, b = 7.233 Å, c = 7.233 Å, α = 90.00°, β = 90.00° and γ = 90.00°. The inequivalent atoms are Th at (0.000, 0.000, 0.000), Sc at (0.250, 0.250, 0.250) and Al at (0.000, 0.000, 0.500).

Its total DFT energy (no corrections) is -95.601 eV for the cell shown. The calculated density comes out at 6.1 g cm⁻³. The energy of formation comes out at -18.7 meV per atom. For the energy above the most stable polymorph in this dataset, the calculation gives 201 meV per atom.

Entry 5:
# SrSmY2

An optimized crystal structure of SrSmY2 (GGA-PBE, Alexandria via LeMat-Bulk).

It has space group R-3m (No. 166, hexagonal axes), with a = 3.6398 Å, b = 3.6398 Å, c = 38.4756 Å, α = 90.00°, β = 90.00° and γ = 120.00°. The inequivalent atoms are Sr at (0.0000, 0.0000, 0.0000), Sm at (0.0000, 0.0000, 0.5000) and Y at (0.0000, 0.0000, 0.0923).

Its total DFT energy (no corrections) is -55.423 eV for the cell shown. The calculated density comes out at 4.7 g cm⁻³. The energy of formation comes out at 213.7 meV per atom. For the energy above the most stable polymorph in this dataset, the calculation gives 100 meV per atom.

Entry 6:
# Pr4Dy8Y

An optimized crystal structure of Pr4Dy8Y (GGA-PBE, Alexandria via LeMat-Bulk).

It has space group R-3m (No. 166, hexagonal axes), with a = 11.1018 Å, b = 11.1018 Å, c = 13.5655 Å, α = 90.00°, β = 90.00° and γ = 120.00°. The inequivalent atoms are Pr at (0.0000, 0.0000, 0.0000), Pr at (0.0000, 0.5000, 0.0000), Dy at (0.0000, 0.0000, 0.2395), Dy at (0.0137, 0.5068, 0.7460) and Y at (0.0000, 0.0000, 0.5000).

Its total DFT energy (no corrections) is -167.021 eV for the cell shown. The calculated density comes out at 6.7 g cm⁻³. The energy of formation comes out at 517.3 meV per atom.

Entry 7:
# Ac6Nd7Y16

An optimized crystal structure of Ac6Nd7Y16 (GGA-PBE, Alexandria via LeMat-Bulk).

It has space group Fm-3m (No. 225), with a = 16.378 Å, b = 16.378 Å, c = 16.378 Å, α = 90.00°, β = 90.00° and γ = 90.00°. The inequivalent atoms are Ac at (0.000, 0.000, 0.243), Nd at (0.000, 0.000, 0.500), Nd at (0.000, 0.250, 0.250), Y at (0.131, 0.131, 0.369) and Y at (0.156, 0.156, 0.156).

Its total DFT energy (no corrections) is -621.751 eV for the cell shown. The calculated density comes out at 5.7 g cm⁻³. The energy of formation comes out at 207.3 meV per atom.

Entry 8:
# LaMg14Co

An optimized crystal structure of LaMg14Co (GGA-PBE, Alexandria via LeMat-Bulk).

It has space group P-6m2 (No. 187), with a = 6.4695 Å, b = 6.4695 Å, c = 10.2041 Å, α = 90.00°, β = 90.00° and γ = 120.00°. The inequivalent atoms are La at (0.0000, 0.0000, 0.0000), Mg at (0.0174, 0.5087, 0.0000), Mg at (0.1613, 0.3225, 0.2733), Mg at (0.5057, 0.0115, 0.5000), Mg at (0.6667, 0.3333, 0.2352) and Co at (0.0000, 0.0000, 0.5000).

Its total DFT energy (no corrections) is -32.989 eV for the cell shown. The calculated density comes out at 2.4 g cm⁻³. The energy of formation comes out at 85.6 meV per atom. For the energy above the most stable polymorph in this dataset, the calculation gives 31 meV per atom.

Number 1: DOS at the Fermi energy 0.564 states/eV/atom. Number 2: DOS at the Fermi energy 0.768 states/eV/atom. Number 3: DOS at the Fermi energy 1.043 states/eV/atom. Number 4: DOS at the Fermi energy 2.172 states/eV/atom. Number 5: DOS at the Fermi energy 1.494 states/eV/atom. Number 6: DOS at the Fermi energy 1.800 states/eV/atom. Number 7: DOS at the Fermi energy 1.560 states/eV/atom. Number 8: DOS at the Fermi energy 0.617 states/eV/atom.